No. 1
YbMg | PBE | relaxed

Cell lengths 3.8660, 3.8660, 3.8660 Å; angles 90.00, 90.00, 90.00 degrees
Positions (direct):
Yb 0.0000 0.0000 0.0000
Mg 0.5000 0.5000 0.5000

Output
DOS(E_F): 14.35 states/eV per cell
energy: -3.40 eV/f.u.
calculated density: 5.67 g cm⁻³

---

No. 2
MgReOs2 | PBE | relaxed

Cell lengths 5.1806, 5.1806, 5.1806 Å; angles 146.90, 127.90, 63.13 degrees
Positions (direct):
Mg 0.0000 0.0000 0.0000
Re 0.5000 0.5000 0.0000
Os 0.2517 0.7517 0.5000
Os 0.7483 0.2483 0.5000

Output
DOS(E_F): 3.27 states/eV per cell
energy: -35.13 eV/f.u.
calculated density: 16.55 g cm⁻³